Density functional theory data (PBE-GGA) for a relaxed Mg6ScAg crystal.

abc: 6.360 6.360 4.989
angles: 90.00 90.00 120.00
Positions (direct):
Mg1 0.001 0.501 0.000
Mg2 0.332 0.166 0.500
Mg3 0.499 0.501 0.000
Mg4 0.499 0.999 0.000
Mg5 0.834 0.166 0.500
Mg6 0.834 0.668 0.500
Sc1 0.000 0.000 0.000
Ag1 0.333 0.667 0.500

Calculated values
space group	P-6m2, No. 187
calculated total energy	-18.66	eV per cell
V	21.85	A^3/atom

***

Density functional theory data (PBE-GGA) for a relaxed MgScAg2 crystal.

abc: 4.726 4.726 3.437
angles: 90.00 90.00 90.61
Positions (direct):
Mg1 0.000 0.000 0.000
Sc1 0.500 0.500 0.000
Ag1 0.000 0.500 0.500
Ag2 0.500 0.000 0.500

Calculated values
space group	Cmmm, No. 65
calculated total energy	-14.41	eV per cell
V	19.19	A^3/atom

***

Density functional theory data (PBE-GGA) for a relaxed MgScAg2 crystal.

abc: 4.889 4.889 8.221
angles: 90.00 90.00 120.00
Positions (direct):
Mg1 0.000 0.000 0.250
Mg2 0.000 0.000 0.750
Sc1 0.333 0.667 0.250
Sc2 0.667 0.333 0.750
Ag1 0.333 0.667 0.586
Ag2 0.333 0.667 0.914
Ag3 0.667 0.333 0.086
Ag4 0.667 0.333 0.414

Calculated values
space group	P6_3/mmc, No. 194
calculated total energy	-26.10	eV per cell
V	21.27	A^3/atom

***

Density functional theory data (PBE-GGA) for a relaxed MgScAg crystal.

abc: 4.631 4.631 4.631
angles: 60.00 60.00 60.00
Positions (direct):
Mg1 0.000 0.000 0.000
Sc1 0.500 0.500 0.500
Ag1 0.250 0.250 0.250

Calculated values
space group	F-43m, No. 216
calculated total energy	-10.69	eV per cell
V	23.41	A^3/atom

***

Density functional theory data (PBE-GGA) for a relaxed MgScAg2 crystal.

abc: 4.631 4.631 8.579
angles: 90.00 90.00 120.00
Positions (direct):
Mg1 0.000 0.000 0.000
Mg2 0.000 0.000 0.500
Sc1 0.333 0.667 0.250
Sc2 0.667 0.333 0.750
Ag1 0.333 0.667 0.587
Ag2 0.333 0.667 0.913
Ag3 0.667 0.333 0.087
Ag4 0.667 0.333 0.413

Calculated values
space group	P6_3/mmc, No. 194
calculated total energy	-28.90	eV per cell
V	19.92	A^3/atom

***

Density functional theory data (PBE-GGA) for a relaxed MgScAgTe2Se crystal.

abc: 7.170 7.170 10.788
angles: 90.00 90.00 147.40
Positions (direct):
Mg1 0.246 0.754 0.750
Mg2 0.754 0.246 0.250
Sc1 0.500 0.500 0.000
Sc2 0.500 0.500 0.500
Ag1 0.018 0.982 0.250
Ag2 0.982 0.018 0.750
Te1 0.148 0.852 0.060
Te2 0.148 0.852 0.440
Te3 0.852 0.148 0.560
Te4 0.852 0.148 0.940
Se1 0.391 0.609 0.250
Se2 0.609 0.391 0.750

Calculated values
space group	Cmcm, No. 63
calculated total energy	-49.90	eV per cell
V	24.90	A^3/atom